Model one:
VASP calculation (PBE) on a geometry-optimized ScH2O structure.

Cell lengths 4.8952, 4.8952, 4.8952 Å; angles 90.00, 90.00, 90.00 degrees
Space group Fm-3m (No. 225)
One atom of each set of equivalent atoms:
Sc: 0.0000 0.0000 0.0000
H: 0.2500 0.2500 0.2500
O: 0.0000 0.0000 0.5000

Results
DOS(E_F) = 0.5608 states/eV/atom
total moment = 0.0 μB/cell
calculated density = 3.57 g/cm³



Model two:
VASP calculation (PBE) on a geometry-optimized ScH2O structure.

Cell lengths 2.9794, 2.9794, 16.6598 Å; angles 90.00, 90.00, 90.00 degrees
Space group I4_1/amd (No. 141, origin choice 2)
One atom of each set of equivalent atoms:
Sc: 0.0000 0.2500 0.3750
H: 0.0000 0.0000 0.5000
O: 0.0000 0.2500 0.8750

Results
DOS(E_F) = 0.1249 states/eV/atom
total moment = 0.0 μB/cell
calculated density = 2.83 g/cm³



In terms of stability, model two leads; the second structure lies 0.445 eV/atom higher.



Model one:
VASP calculation (PBE) on a geometry-optimized Sc3HO structure.

Cell lengths 4.3389, 4.3389, 4.3389 Å; angles 90.00, 90.00, 90.00 degrees
Space group Pm-3m (No. 221)
One atom of each set of equivalent atoms:
Sc: 0.0000 0.0000 0.5000
H: 0.5000 0.5000 0.5000
O: 0.0000 0.0000 0.0000

Results
DOS(E_F) = 1.0978 states/eV/atom
total moment = 0.0 μB/cell
calculated density = 3.09 g/cm³



Model two:
VASP calculation (PBE) on a geometry-optimized Sc3HO structure.

Cell lengths 11.9194, 9.7446, 5.6770 Å; angles 90.00, 117.77, 90.00 degrees
Space group C2/c (No. 15)
One atom of each set of equivalent atoms:
Sc: 0.1186 0.2457 0.1982
Sc: 0.1226 0.0834 0.7048
Sc: 0.1286 0.4132 0.7225
H: 0.1846 0.4165 0.1115
O: 0.0000 0.0775 0.2500
O: 0.0000 0.2457 0.7500

Results
DOS(E_F) = 0.5361 states/eV/atom
total moment = 0.0 μB/cell
calculated density = 3.46 g/cm³



In terms of stability, model two leads; the second structure lies 0.724 eV/atom higher.



Model one:
VASP calculation (PBE) on a geometry-optimized ScHO structure.

Cell lengths 3.2671, 3.2671, 4.9749 Å; angles 90.00, 90.00, 120.00 degrees
Space group P3m1 (No. 156)
One atom of each set of equivalent atoms:
Sc: 0.0000 0.0000 0.0000
H: 0.6667 0.3333 0.2241
O: 0.3333 0.6667 0.8587

Results
DOS(E_F) = 0.0000 states/eV/atom
total moment = 0.0 μB/cell
calculated density = 2.24 g/cm³



Model two:
VASP calculation (PBE) on a geometry-optimized ScHO structure.

Cell lengths 4.9258, 4.9258, 4.9258 Å; angles 90.00, 90.00, 90.00 degrees
Space group F-43m (No. 216)
One atom of each set of equivalent atoms:
Sc: 0.0000 0.0000 0.0000
H: 0.2500 0.2500 0.7500
O: 0.2500 0.2500 0.2500

Results
DOS(E_F) = 0.0000 states/eV/atom
total moment = 0.0 μB/cell
calculated density = 3.44 g/cm³



Model three:
VASP calculation (PBE) on a geometry-optimized ScHO structure.

Cell lengths 3.5105, 3.5105, 17.2938 Å; angles 90.00, 90.00, 120.00 degrees
Space group R-3m (No. 166, hexagonal axes)
One atom of each set of equivalent atoms:
Sc: 0.0000 0.0000 0.2455
H: 0.0000 0.0000 0.3657
O: 0.0000 0.0000 0.1166

Results
DOS(E_F) = 0.0000 states/eV/atom
total moment = 0.0 μB/cell
calculated density = 3.34 g/cm³



In terms of stability, model two leads; the second structure lies 0.023 eV/atom higher.



Model one:
VASP calculation (PBE) on a geometry-optimized Sc2HO structure.

Cell lengths 3.1574, 3.1574, 16.2890 Å; angles 90.00, 90.00, 120.00 degrees
Space group R3m (No. 160, hexagonal axes)
One atom of each set of equivalent atoms:
Sc: 0.0000 0.0000 0.0000
Sc: 0.0000 0.0000 0.1753
H: 0.0000 0.0000 0.5948
O: 0.0000 0.0000 0.4214

Results
DOS(E_F) = 0.7217 states/eV/atom
total moment = 0.0 μB/cell
calculated density = 3.79 g/cm³



Model two:
VASP calculation (PBE) on a geometry-optimized Sc2HO structure.

Cell lengths 3.3710, 6.8930, 4.8546 Å; angles 90.00, 90.00, 90.00 degrees
Space group Pmn2_1 (No. 31)
One atom of each set of equivalent atoms:
Sc: 0.0000 0.0943 0.0000
Sc: 0.0000 0.6423 0.0881
H: 0.0000 0.8329 0.7543
O: 0.0000 0.4013 0.8312

Results
DOS(E_F) = 0.7242 states/eV/atom
total moment = 0.5 μB/cell
calculated density = 3.15 g/cm³



Model three:
VASP calculation (PBE) on a geometry-optimized Sc2HO structure.

Cell lengths 3.2594, 3.2594, 18.2648 Å; angles 90.00, 90.00, 120.00 degrees
Space group R-3m (No. 166, hexagonal axes)
One atom of each set of equivalent atoms:
Sc: 0.0000 0.0000 0.0985
H: 0.0000 0.0000 0.0000
O: 0.0000 0.0000 0.5000

Results
DOS(E_F) = 1.1482 states/eV/atom
total moment = 0.0 μB/cell
calculated density = 3.17 g/cm³



In terms of stability, model two leads; the second structure lies 0.087 eV/atom higher.



Model one:
VASP calculation (PBE) on a geometry-optimized SiH2O structure.

Cell lengths 4.4590, 3.8340, 5.2972 Å; angles 90.00, 98.82, 90.00 degrees
Space group Cm (No. 8)
One atom of each set of equivalent atoms:
Si: 0.0000 0.0000 0.0000
H: 0.3483 0.5000 0.7316
H: 0.4454 0.5000 0.2681
O: 0.3804 0.0000 0.0000

Results
DOS(E_F) = 0.0000 states/eV/atom
total moment = 0.0 μB/cell
calculated density = 1.71 g/cm³



Model two:
VASP calculation (PBE) on a geometry-optimized SiH2O structure.

Cell lengths 2.5355, 3.3926, 4.9283 Å; angles 83.53, 86.68, 89.94 degrees
Space group P1 (No. 1)
One atom of each set of equivalent atoms:
Si: 0.0000 0.0000 0.0000
H: 0.0063 0.5104 0.9261
H: 0.5967 0.9196 0.4223
O: 0.9711 0.9406 0.3479

Results
DOS(E_F) = 0.0865 states/eV/atom
total moment = 0.0 μB/cell
calculated density = 1.82 g/cm³



Model three:
VASP calculation (PBE) on a geometry-optimized SiH2O structure.

Cell lengths 5.8092, 9.3080, 2.8083 Å; angles 90.00, 118.56, 90.00 degrees
Space group C2 (No. 5)
One atom of each set of equivalent atoms:
Si: 0.0000 0.0000 0.0000
H: 0.2410 0.0905 0.2385
O: 0.0000 0.9039 0.5000

Results
DOS(E_F) = 0.0000 states/eV/atom
total moment = 0.0 μB/cell
calculated density = 1.15 g/cm³



In terms of stability, model three leads; the second structure lies 0.210 eV/atom higher.



Model one:
VASP calculation (PBE) on a geometry-optimized Si2H2O5 structure.

Cell lengths 4.8299, 6.4035, 8.2023 Å; angles 108.83, 102.72, 94.69 degrees
Space group P1 (No. 1)
One atom of each set of equivalent atoms:
Si: 0.0000 0.0000 0.0000
Si: 0.1206 0.3902 0.3738
Si: 0.4678 0.6945 0.9836
Si: 0.6557 0.6887 0.3911
H: 0.1888 0.2468 0.8671
H: 0.3182 0.3602 0.6497
H: 0.8595 0.9963 0.6486
H: 0.9133 0.7214 0.1876
O: 0.0663 0.0927 0.8495
O: 0.2381 0.8485 0.0605
O: 0.2983 0.2992 0.5169
O: 0.3185 0.5782 0.3270
O: 0.3433 0.4452 0.8612
O: 0.6891 0.8307 0.9147
O: 0.7084 0.7013 0.1880
O: 0.7264 0.9398 0.5249
O: 0.8628 0.5194 0.4377
O: 0.9806 0.1903 0.1824

Results
DOS(E_F) = 0.0000 states/eV/atom
total moment = 0.1 μB/cell
calculated density = 1.99 g/cm³



Model two:
VASP calculation (PBE) on a geometry-optimized Si2H2O5 structure.

Cell lengths 16.2500, 5.0406, 6.0485 Å; angles 90.00, 111.78, 90.00 degrees
Space group C2 (No. 5)
One atom of each set of equivalent atoms:
Si: 0.0945 0.0000 0.1930
Si: 0.0944 0.5212 0.4917
H: 0.1585 0.2014 0.9510
H: 0.2265 0.4891 0.8141
O: 0.0000 0.6178 0.5000
O: 0.0000 0.8967 0.0000
O: 0.0746 0.2664 0.3151
O: 0.1364 0.7650 0.3886
O: 0.1620 0.4392 0.7594
O: 0.1680 0.0572 0.0723

Results
DOS(E_F) = 0.0000 states/eV/atom
total moment = 0.0 μB/cell
calculated density = 1.99 g/cm³



Model three:
VASP calculation (PBE) on a geometry-optimized Si2H2O5 structure.

Cell lengths 16.7771, 5.6063, 5.1255 Å; angles 90.00, 99.66, 90.00 degrees
Space group Cc (No. 9)
One atom of each set of equivalent atoms:
Si: 0.0000 0.1584 0.0000
Si: 0.1855 0.3412 0.0971
H: 0.2597 0.0228 0.2378
H: 0.4299 0.0416 0.2633
O: 0.0927 0.2495 0.0180
O: 0.2018 0.4484 0.3954
O: 0.2485 0.1208 0.0756
O: 0.4368 0.1176 0.4397
O: 0.4836 0.4463 0.7813

Results
DOS(E_F) = 0.0000 states/eV/atom
total moment = 0.0 μB/cell
calculated density = 1.93 g/cm³



In terms of stability, model two leads; the second structure lies 0.015 eV/atom higher.



Model one:
VASP calculation (PBE) on a geometry-optimized SiHO structure.

Cell lengths 6.7338, 8.5448, 4.9212 Å; angles 90.00, 109.95, 90.00 degrees
Space group Cc (No. 9)
One atom of each set of equivalent atoms:
Si: 0.0000 0.0281 0.0000
Si: 0.0565 0.3376 0.7518
H: 0.1102 0.2337 0.5431
H: 0.3745 0.0574 0.1039
O: 0.2586 0.4468 0.9197
O: 0.4884 0.2757 0.4769

Results
total moment = 0.0 μB/cell
calculated density = 2.25 g/cm³



Model two:
VASP calculation (PBE) on a geometry-optimized SiHO structure.

Cell lengths 2.8082, 5.2645, 6.7033 Å; angles 110.09, 101.99, 91.57 degrees
Space group P-1 (No. 2)
One atom of each set of equivalent atoms:
Si: 0.0945 0.0266 0.1885
H: 0.1811 0.3198 0.3335
O: 0.3873 0.1136 0.7603

Results
DOS(E_F) = 0.0000 states/eV/atom
total moment = 0.0 μB/cell
calculated density = 1.65 g/cm³



In terms of stability, model two leads; the second structure lies 0.070 eV/atom higher.



Model one:
VASP calculation (PBE) on a geometry-optimized Si2HO structure.

Cell lengths 4.5543, 4.5543, 8.3066 Å; angles 90.00, 90.00, 90.00 degrees
Space group I-42d (No. 122)
One atom of each set of equivalent atoms:
Si: 0.2159 0.2500 0.1250
H: 0.0000 0.0000 0.0000
O: 0.0000 0.0000 0.5000

Results
DOS(E_F) = 0.5740 states/eV/atom
total moment = 0.0 μB/cell
calculated density = 2.82 g/cm³



Model two:
VASP calculation (PBE) on a geometry-optimized Si2HO structure.

Cell lengths 5.5357, 5.5357, 5.5357 Å; angles 90.00, 90.00, 90.00 degrees
Space group Fm-3m (No. 225)
One atom of each set of equivalent atoms:
Si: 0.2500 0.2500 0.2500
H: 0.0000 0.0000 0.0000
O: 0.0000 0.0000 0.5000

Results
DOS(E_F) = 0.5649 states/eV/atom
total moment = 0.0 μB/cell
calculated density = 2.87 g/cm³



In terms of stability, model one leads; the second structure lies 0.459 eV/atom higher.



Model one:
VASP calculation (PBE) on a geometry-optimized Si2HO2 structure.

Cell lengths 3.3543, 3.3543, 8.5437 Å; angles 90.00, 90.00, 90.00 degrees
Space group I4/mmm (No. 139)
One atom of each set of equivalent atoms:
Si: 0.0000 0.0000 0.1362
H: 0.0000 0.0000 0.5000
O: 0.0000 0.5000 0.2500

Results
DOS(E_F) = 0.3257 states/eV/atom
total moment = 0.0 μB/cell
calculated density = 3.08 g/cm³



Model two:
VASP calculation (PBE) on a geometry-optimized Si2HO2 structure.

Cell lengths 5.4662, 5.4662, 3.2794 Å; angles 90.00, 90.00, 90.00 degrees
Space group P4/mbm (No. 127)
One atom of each set of equivalent atoms:
Si: 0.1564 0.3436 0.0000
H: 0.0000 0.0000 0.0000
O: 0.1933 0.3067 0.5000

Results
DOS(E_F) = 0.2407 states/eV/atom
total moment = 0.0 μB/cell
calculated density = 3.02 g/cm³



In terms of stability, model two leads; the second structure lies 0.285 eV/atom higher.



Model one:
VASP calculation (PBE) on a geometry-optimized SnH3O structure.

Cell lengths 3.4947, 3.4947, 3.4947 Å; angles 90.00, 90.00, 90.00 degrees
Space group Pm-3m (No. 221)
One atom of each set of equivalent atoms:
Sn: 0.0000 0.0000 0.0000
H: 0.0000 0.5000 0.5000
O: 0.5000 0.5000 0.5000

Results
DOS(E_F) = 0.2584 states/eV/atom
total moment = 0.0 μB/cell
calculated density = 5.36 g/cm³



Model two:
VASP calculation (PBE) on a geometry-optimized SnH3O structure.

Cell lengths 3.7438, 3.7438, 3.7438 Å; angles 90.00, 90.00, 90.00 degrees
Space group Pm-3m (No. 221)
One atom of each set of equivalent atoms:
Sn: 0.0000 0.0000 0.0000
H: 0.0000 0.0000 0.5000
O: 0.5000 0.5000 0.5000

Results
DOS(E_F) = 0.7007 states/eV/atom
total moment = 1.3 μB/cell
calculated density = 4.36 g/cm³



In terms of stability, model two leads; the second structure lies 0.138 eV/atom higher.